# 1
5
Lattice="5.073 0.000 0.000 0.000 5.073 0.000 0.000 0.000 4.600" Properties=species:S:1:pos:R:3 comment="NaMg2SiOs, optimized geometry, DFT PBE" energy_ev_per_atom=-4.1973 e_form_raw_ev_per_atom=0.03 rho_g_cm3=4.07 pbc="T T T"
Na 0.000 0.000 0.000
Mg 0.000 2.537 2.300
Mg 2.537 0.000 2.300
Si 2.537 2.537 0.000
Os 2.537 2.537 2.300

***

# 2
5
Lattice="4.696 0.000 0.000 0.000 4.696 0.000 0.000 0.000 4.229" Properties=species:S:1:pos:R:3 comment="NaMgTa2Os, optimized geometry, DFT PBE" energy_ev_per_atom=-5.3143 rho_g_cm3=10.67 ef_ev_per_atom=2.255 pbc="T T T"
Na 0.000 0.000 0.000
Mg 0.000 0.000 2.115
Ta 0.000 2.348 0.000
Ta 2.348 0.000 0.000
Os 2.348 2.348 2.115

***

# 3
3
Lattice="0.000 3.170 3.170 3.170 0.000 3.170 3.170 3.170 0.000" Properties=species:S:1:pos:R:3 comment="NaMgP, optimized geometry, DFT PBE" energy_ev_per_atom=-2.6633 rho_g_cm3=2.04 ef_ev_per_atom=0.111 pbc="T T T"
Na 0.000 0.000 0.000
Mg 4.755 4.755 4.755
P 1.585 1.585 1.585

***

# 4
5
Lattice="5.490 0.000 0.000 0.000 5.490 0.000 0.000 0.000 5.490" Properties=species:S:1:pos:R:3 comment="Na3MgP, optimized geometry, DFT PBE" energy_ev_per_atom=-1.5177 rho_g_cm3=1.25 ef_ev_per_atom=0.675 pbc="T T T"
Na 0.000 0.000 2.745
Na 0.000 2.745 0.000
Na 2.745 0.000 0.000
Mg 0.000 0.000 0.000
P 2.745 2.745 2.745

***

# 5
8
Lattice="-4.309 4.309 2.814 4.309 -4.309 2.814 4.309 4.309 -2.814" Properties=species:S:1:pos:R:3 comment="NaMg2P, optimized geometry, DFT PBE" energy_ev_per_atom=-2.6076 rho_g_cm3=1.63 ef_ev_per_atom=-0.128 pbc="T T T"
Na 0.000 0.000 0.000
Na 0.000 4.309 1.407
Mg 2.155 3.073 -0.704
Mg 5.546 2.155 0.704
Mg 2.155 1.237 2.111
Mg -1.237 2.155 3.518
P 4.309 0.000 1.407
P 0.000 0.000 2.814

***

# 6
16
Lattice="5.154 0.000 0.000 -2.577 4.463 0.000 0.000 0.000 17.660" Properties=species:S:1:pos:R:3 comment="Na5MgP2, optimized geometry, DFT PBE" energy_ev_per_atom=-2.6195 rho_g_cm3=1.64 ef_ev_per_atom=-0.243 pbc="T T T"
Na 0.000 0.000 2.334
Na 0.000 0.000 6.496
Na 0.000 0.000 11.164
Na 0.000 0.000 15.327
Na 0.000 2.976 0.917
Na 0.000 2.976 4.415
Na 0.000 2.976 7.913
Na 2.577 1.488 9.747
Na 2.577 1.488 13.245
Na 2.577 1.488 16.743
Mg 0.000 2.976 13.245
Mg 2.577 1.488 4.415
P 0.000 2.976 10.803
P 0.000 2.976 15.687
P 2.577 1.488 1.973
P 2.577 1.488 6.857

***

# 7
4
Lattice="0.000 3.483 3.483 3.483 0.000 3.483 3.483 3.483 0.000" Properties=species:S:1:pos:R:3 comment="NaMg2P, optimized geometry, DFT PBE" energy_ev_per_atom=-2.4331 rho_g_cm3=2.02 ef_ev_per_atom=0.046 pbc="T T T"
Na 0.000 0.000 0.000
Mg 1.742 1.742 1.742
Mg 5.225 5.225 5.225
P 3.483 3.483 3.483

***

# 8
5
Lattice="5.481 0.000 0.000 0.000 5.481 0.000 0.000 0.000 5.481" Properties=species:S:1:pos:R:3 comment="Na3MgP, optimized geometry, DFT PBE" energy_ev_per_atom=-2.2001 rho_g_cm3=1.25 ef_ev_per_atom=-0.008 pbc="T T T"
Na 0.000 0.000 2.741
Na 0.000 2.741 0.000
Na 2.741 0.000 0.000
Mg 2.741 2.741 2.741
P 0.000 0.000 0.000

***

# 9
5
Lattice="6.060 0.000 0.000 0.000 6.060 0.000 0.000 0.000 5.209" Properties=species:S:1:pos:R:3 comment="Na2MgPPb, optimized geometry, DFT PBE" energy_ev_per_atom=-2.2262 rho_g_cm3=2.68 ef_ev_per_atom=0.444 pbc="T T T"
Na 0.000 3.030 0.000
Na 3.030 0.000 0.000
Mg 0.000 0.000 2.604
P 3.030 3.030 2.604
Pb 3.030 3.030 0.000

***

# 10
8
Lattice="4.027 0.000 0.000 0.000 4.027 0.000 0.000 0.000 9.443" Properties=species:S:1:pos:R:3 comment="NaMgP2Pt4, optimized geometry, DFT PBE" energy_ev_per_atom=-5.2852 rho_g_cm3=9.65 ef_ev_per_atom=-0.548 pbc="T T T"
Na 0.000 0.000 0.000
Mg 0.000 0.000 4.722
P 2.013 2.013 1.669
P 2.013 2.013 7.774
Pt 0.000 2.013 2.820
Pt 0.000 2.013 6.624
Pt 2.013 0.000 2.820
Pt 2.013 0.000 6.624